Entry from Alexandria via LeMat-Bulk: crystalline ZrTe2As at its relaxed geometry (GGA-PBE).

Summary:
* raw formation energy: -0.5379 eV/atom
* E_tot: -21.633 eV per cell

a = 3.6352 Å, b = 3.6352 Å, c = 8.0596 Å
α = 90.00°, β = 90.00°, γ = 90.00°
With the nearest neighbours (Å) after each atom.
Atoms (fractional coordinates):
Te 0.5000 0.5000 0.3343  1 As 2.85, 4 Zr 3.12
As 0.5000 0.5000 0.6876  4 Zr 2.79, 1 Te 2.85
Zr 0.0000 0.0000 0.5528  4 As 2.79, 5 Te 3.00-3.12
Te 0.0000 0.0000 0.9253  1 Zr 3.00, 4 As 3.21

=====

Entry from Alexandria via LeMat-Bulk: crystalline Zr3TeAs at its relaxed geometry (GGA-PBE).

Summary:
* relative energy among the computed polymorphs: 0.000 eV per formula unit
* raw formation energy: -0.0105 eV/atom
* E_tot: -33.488 eV per cell

a = 5.0462 Å, b = 5.0462 Å, c = 5.0462 Å
α = 90.00°, β = 90.00°, γ = 90.00°
With the nearest neighbours (Å) after each atom.
Atoms (fractional coordinates):
Zr 0.5000 0.0000 0.0000  2 As 2.52
Zr 0.0000 0.0000 0.5000  2 As 2.52
Te 0.5000 0.5000 0.5000  12 Zr 3.57
Zr 0.0000 0.5000 0.0000  2 As 2.52
As 0.0000 0.0000 0.0000  6 Zr 2.52

=====

Entry from Alexandria via LeMat-Bulk: crystalline ZrTe2As at its relaxed geometry (GGA-PBE).

Summary:
* raw formation energy: 0.1642 eV/atom
* E_tot: -37.648 eV per cell

a = 6.6807 Å, b = 6.6807 Å, c = 7.9559 Å
α = 65.17°, β = 65.17°, γ = 90.00°
With the nearest neighbours (Å) after each atom.
Atoms (fractional coordinates):
As 0.5000 0.5000 0.0000  4 Te 2.90
Te 0.3750 0.3638 0.7500  2 Zr 2.81, 2 As 2.90
Zr 0.0000 0.0000 0.0000  4 Te 2.81
Zr 0.7500 0.2500 0.5000  4 Te 2.81
Te 0.8750 0.8862 0.7500  2 Zr 2.81, 2 As 2.90
Te 0.6362 0.1250 0.2500  2 Zr 2.81, 2 As 2.90
As 0.2500 0.7500 0.5000  4 Te 2.90
Te 0.1138 0.6250 0.2500  2 Zr 2.81, 2 As 2.90

=====

Entry from Alexandria via LeMat-Bulk: crystalline ZrTe2As at its relaxed geometry (GGA-PBE).

Summary:
* raw formation energy: -0.1438 eV/atom
* E_tot: -20.056 eV per cell

a = 5.6340 Å, b = 5.6419 Å, c = 5.6396 Å
α = 136.30°, β = 127.96°, γ = 69.94°
With the nearest neighbours (Å) after each atom.
Atoms (fractional coordinates):
As 0.2500 0.7500 0.5000  4 Te 2.85-2.87
Te 0.4610 0.4618 0.0016  2 As 2.85-2.87, 2 Zr 3.14-3.15
Zr 0.7500 0.2500 0.5000  8 Te 3.14-3.40, 4 As 3.23-3.26
Te 0.0390 0.0382 0.9984  2 As 2.85-2.87, 2 Zr 3.14-3.15

=====

Entry from Alexandria via LeMat-Bulk: crystalline ZrTe2As at its relaxed geometry (GGA-PBE).

Summary:
* raw formation energy: -0.3454 eV/atom
* E_tot: -20.863 eV per cell

a = 5.1786 Å, b = 4.4196 Å, c = 5.2392 Å
α = 70.01°, β = 90.00°, γ = 90.00°
With the nearest neighbours (Å) after each atom.
Atoms (fractional coordinates):
Te 0.0000 0.9434 0.9498  3 Zr 2.90-3.08
As 0.5000 0.6612 0.6674  2 Te 2.66-2.80, 2 Zr 2.72
Te 0.5000 0.3131 0.3415  2 As 2.66-2.80
Zr 0.0000 0.5823 0.5413  2 As 2.72, 2 Te 2.90-2.96

=====

Entry from Alexandria via LeMat-Bulk: crystalline ZrTe2As at its relaxed geometry (GGA-PBE).

Summary:
* raw formation energy: -0.2790 eV/atom
* E_tot: -20.597 eV per cell

a = 3.2000 Å, b = 3.2000 Å, c = 11.0454 Å
α = 90.00°, β = 90.00°, γ = 103.02°
With the nearest neighbours (Å) after each atom.
Atoms (fractional coordinates):
Zr 0.0000 0.0000 0.5159  2 As 2.71, 2 Te 2.98
Te 0.0000 0.0000 0.9871  4 Te 3.20
As 0.5000 0.5000 0.6822  2 Zr 2.71
Te 0.5000 0.5000 0.3149  2 Zr 2.98, 4 Te 3.20

=====

Entry from Alexandria via LeMat-Bulk: crystalline ZrTe3As at its relaxed geometry (GGA-PBE).

Summary:
* relative energy among the computed polymorphs: 1.132 eV per formula unit
* raw formation energy: 0.4831 eV/atom
* E_tot: -20.207 eV per cell

a = 5.3226 Å, b = 5.3226 Å, c = 5.3226 Å
α = 90.00°, β = 90.00°, γ = 90.00°
With the nearest neighbours (Å) after each atom.
Atoms (fractional coordinates):
As 0.0000 0.0000 0.0000  6 Te 2.66
Te 0.5000 0.0000 0.0000  2 As 2.66
Te 0.0000 0.5000 0.0000  2 As 2.66
Te 0.0000 0.0000 0.5000  2 As 2.66
Zr 0.5000 0.5000 0.5000  12 Te 3.76

=====

Entry from Alexandria via LeMat-Bulk: crystalline ZrTe2As at its relaxed geometry (GGA-PBE).

Summary:
* raw formation energy: -0.1141 eV/atom
* E_tot: -19.938 eV per cell

a = 5.4906 Å, b = 5.4906 Å, c = 4.1555 Å
α = 74.61°, β = 74.61°, γ = 112.97°
With the nearest neighbours (Å) after each atom.
Atoms (fractional coordinates):
Te 0.5000 0.5000 0.0000  2 As 2.97, 2 Zr 2.97, 2 Te 3.03
Te 0.0000 0.0000 0.0000  2 Zr 2.97, 2 As 2.97, 2 Te 3.03
Zr 0.5000 0.0000 0.5000  4 Te 2.97, 2 As 3.03
As 0.0000 0.5000 0.5000  4 Te 2.97, 2 Zr 3.03